Material: Dy2Br2O
Method: DFT, PBE-GGA
State: optimized geometry

The structure belongs to space group C2/m (No. 12); the cell edges are 21.2775, 3.8739 and 6.8047 Å and the angles 90.00°, 95.52° and 90.00°. Symmetry generates all atoms from Dy at (0.1823, 0.0000, 0.3826), Dy at (0.1845, 0.5000, 0.9096), Br at (0.0903, 0.5000, 0.2018), Br at (0.0969, 0.0000, 0.6940) and O at (0.2096, 0.0000, 0.0738).

The calculation puts the density of states at the Fermi level at 0.3088 states/eV/atom. The value obtained for the raw formation energy is -2.220 eV per atom.

---

Material: DyBrO
Method: DFT, PBE-GGA
State: optimized geometry

The structure belongs to space group P3m1 (No. 156); the cell edges are 3.7074, 3.7074 and 5.7720 Å and the angles 90.00°, 90.00° and 120.00°. Symmetry generates all atoms from Dy at (0.0000, 0.0000, 0.0000), Br at (0.3333, 0.6667, 0.6467) and O at (0.6667, 0.3333, 0.0945).

The calculation puts the density of states at the Fermi level at 0.0000 states/eV/atom. The value obtained for the raw formation energy is -2.735 eV per atom.

---

Material: DySBrO4
Method: DFT, PBE-GGA
State: optimized geometry

The structure belongs to space group C2/m (No. 12); the cell edges are 9.9653, 6.9280 and 6.5014 Å and the angles 90.00°, 103.55° and 90.00°. Symmetry generates all atoms from Dy at (0.2351, 0.0000, 0.1412), S at (0.1351, 0.5000, 0.2629), Br at (0.0229, 0.0000, 0.7552), O at (0.0146, 0.5000, 0.7680), O at (0.1835, 0.3306, 0.1499) and O at (0.2050, 0.5000, 0.4879).

The calculation puts the density of states at the Fermi level at 0.0000 states/eV/atom. The value obtained for the raw formation energy is -2.041 eV per atom.

---

Material: DySeBrO4
Method: DFT, PBE-GGA
State: optimized geometry

The structure belongs to space group C2/m (No. 12); the cell edges are 10.2498, 7.1333 and 6.7392 Å and the angles 90.00°, 104.30° and 90.00°. Symmetry generates all atoms from Dy at (0.2300, 0.0000, 0.1303), Se at (0.1356, 0.5000, 0.2671), Br at (0.0185, 0.0000, 0.7567), O at (0.0287, 0.5000, 0.7666), O at (0.1896, 0.3220, 0.1388) and O at (0.2158, 0.5000, 0.5108).

The value obtained for the raw formation energy is -1.605 eV per atom.